The following is a DFT calculation (GGA-PBE) of a geometry-optimized Ca2As3Pd5 structure.

calculated total energy: -5.0879 eV/atom
ΔH_f (0 K): -696 meV per atom

Lattice parameters (Å, degrees): 12.391 12.391 6.920 90.00 90.00 159.76
Fractional positions:
Ca 0.025 0.975 0.500
Ca 0.327 0.673 0.458
Ca 0.673 0.327 0.958
Ca 0.975 0.025 0.000
As 0.117 0.883 0.250
As 0.273 0.727 0.915
As 0.450 0.550 0.282
As 0.550 0.450 0.782
As 0.727 0.273 0.415
As 0.883 0.117 0.750
Pd 0.091 0.909 0.893
Pd 0.202 0.798 0.633
Pd 0.223 0.777 0.221
Pd 0.373 0.627 0.003
Pd 0.442 0.558 0.658
Pd 0.558 0.442 0.158
Pd 0.627 0.373 0.503
Pd 0.777 0.223 0.721
Pd 0.798 0.202 0.133
Pd 0.909 0.091 0.393